[1]
Zr5Zn3Cd | PBE | relaxed

```
Zr5Zn3Cd
1.0
8.406 0.000 0.000
-4.203 7.280 0.000
0.000 0.000 5.867
Zr Zn Cd
10 6 2
direct
0.000 0.325 0.250
0.000 0.675 0.750
0.325 0.000 0.250
0.325 0.325 0.750
0.333 0.667 0.000
0.333 0.667 0.500
0.667 0.333 0.000
0.667 0.333 0.500
0.675 0.000 0.750
0.675 0.675 0.250
0.000 0.346 0.750
0.000 0.654 0.250
0.346 0.000 0.750
0.346 0.346 0.250
0.654 0.000 0.250
0.654 0.654 0.750
0.000 0.000 0.000
0.000 0.000 0.500
```

Properties
Its total moment is 1.3 μB/cell. For the calculated formation energy, the calculation gives -0.166 eV per atom. Its density of states at the Fermi level is 1.35 states/eV/atom.



[2]
Zr5Zn4Cd | PBE | relaxed

```
Zr5Zn4Cd
1.0
3.357 0.000 0.000
0.000 3.357 0.000
0.000 0.000 17.131
Zr Zn Cd
5 4 1
direct
0.000 0.000 0.000
0.000 0.000 0.194
0.000 0.000 0.388
0.000 0.000 0.612
0.000 0.000 0.806
0.500 0.500 0.097
0.500 0.500 0.291
0.500 0.500 0.709
0.500 0.500 0.903
0.500 0.500 0.500
```

Properties
Its total moment is 0.0 μB/cell. For the calculated formation energy, the calculation gives -0.234 eV per atom. Its density of states at the Fermi level is 0.37 states/eV/atom.



[3]
Zr5Zn4Cd4 | PBE | relaxed

```
Zr5Zn4Cd4
1.0
-6.064 6.064 1.785
6.064 -6.064 1.785
6.064 6.064 -1.785
Zr Zn Cd
5 4 4
direct
0.000 0.000 0.000
0.300 0.641 0.941
0.359 0.300 0.658
0.641 0.700 0.342
0.700 0.359 0.059
0.045 0.772 0.817
0.228 0.045 0.273
0.772 0.955 0.727
0.955 0.228 0.183
0.108 0.406 0.514
0.406 0.892 0.298
0.594 0.108 0.702
0.892 0.594 0.486
```

Properties
Its total moment is 0.0 μB/cell. For the calculated formation energy, the calculation gives -0.122 eV per atom. Its density of states at the Fermi level is 0.85 states/eV/atom.



[4]
ZrZnCd2 | PBE | relaxed

```
ZrZnCd2
1.0
1.537 0.888 10.191
-1.537 0.888 10.191
0.000 -1.775 10.191
Zr Zn Cd
1 1 2
direct
0.000 0.000 0.000
0.256 0.256 0.256
0.509 0.509 0.509
0.754 0.754 0.754
```

Properties
Its total moment is 0.0 μB/cell. For the calculated formation energy, the calculation gives 0.022 eV per atom. Its density of states at the Fermi level is 0.63 states/eV/atom.



[5]
ZrZn3Cd | PBE | relaxed

```
ZrZn3Cd
1.0
4.771 0.000 0.000
0.000 4.771 0.000
0.000 0.000 4.771
Zr Zn Cd
1 3 1
direct
0.000 0.000 0.000
0.000 0.500 0.500
0.500 0.000 0.500
0.500 0.500 0.000
0.500 0.500 0.500
```

Properties
Its total moment is 0.0 μB/cell. For the calculated formation energy, the calculation gives 0.665 eV per atom. Its density of states at the Fermi level is 0.64 states/eV/atom.



[6]
Zr4Zn3Cd2 | PBE | relaxed

```
Zr4Zn3Cd2
1.0
4.874 -2.262 0.000
4.874 2.262 0.000
-3.537 0.000 8.035
Zr Zn Cd
4 3 2
direct
0.046 0.046 0.345
0.347 0.347 0.111
0.653 0.653 0.889
0.954 0.954 0.655
0.000 0.000 0.000
0.363 0.363 0.441
0.637 0.637 0.559
0.294 0.294 0.744
0.706 0.706 0.256
```

Properties
Its total moment is 0.0 μB/cell. For the calculated formation energy, the calculation gives -0.126 eV per atom. Its density of states at the Fermi level is 0.77 states/eV/atom.



[7]
Zr6Zn5Cd | PBE | relaxed

```
Zr6Zn5Cd
1.0
-2.385 3.382 7.148
2.385 -3.382 7.148
2.385 3.382 -7.148
Zr Zn Cd
6 5 1
direct
0.075 0.330 0.745
0.239 0.000 0.239
0.416 0.670 0.745
0.584 0.330 0.255
0.761 0.000 0.761
0.925 0.670 0.255
0.000 0.500 0.500
0.167 0.167 0.000
0.339 0.839 0.500
0.661 0.161 0.500
0.833 0.833 0.000
0.500 0.500 0.000
```

Properties
Its total moment is 0.0 μB/cell. For the calculated formation energy, the calculation gives -0.231 eV per atom. Its density of states at the Fermi level is 0.25 states/eV/atom.



[8]
ZrZnCd2 | PBE | relaxed

```
ZrZnCd2
1.0
2.983 -5.099 0.000
2.983 5.099 0.000
-0.972 0.000 2.681
Zr Zn Cd
1 1 2
direct
0.000 0.000 0.000
0.500 0.500 0.000
0.000 0.500 0.500
0.500 0.000 0.500
```

Properties
Its total moment is 0.0 μB/cell. For the calculated formation energy, the calculation gives -0.013 eV per atom. Its density of states at the Fermi level is 0.78 states/eV/atom.



[9]
ZrZn3Cd | PBE | relaxed

```
ZrZn3Cd
1.0
5.295 0.000 0.000
0.000 5.295 0.000
0.000 0.000 5.295
Zr Zn Cd
1 3 1
direct
0.000 0.000 0.000
0.000 0.000 0.500
0.000 0.500 0.000
0.500 0.000 0.000
0.500 0.500 0.500
```

Properties
Its total moment is 1.6 μB/cell. For the calculated formation energy, the calculation gives 0.888 eV per atom. Its density of states at the Fermi level is 1.26 states/eV/atom.



[10]
ZrZnCd | PBE | relaxed

```
ZrZnCd
1.0
3.052 0.000 0.000
-1.526 2.643 0.000
0.000 0.000 7.499
Zr Zn Cd
1 1 1
direct
0.000 0.000 0.000
0.667 0.333 0.677
0.333 0.667 0.358
```

Properties
Its total moment is 0.0 μB/cell. For the calculated formation energy, the calculation gives -0.001 eV per atom. Its density of states at the Fermi level is 0.30 states/eV/atom.



[11]
ZrZnCd2 | PBE | relaxed

```
ZrZnCd2
1.0
4.107 0.000 0.000
0.000 4.308 0.000
0.000 0.000 4.538
Zr Zn Cd
1 1 2
direct
0.000 0.000 0.000
0.500 0.500 0.000
0.000 0.500 0.500
0.500 0.000 0.500
```

Properties
Its total moment is 0.0 μB/cell. For the calculated formation energy, the calculation gives -0.122 eV per atom. Its density of states at the Fermi level is 0.71 states/eV/atom.



[12]
ZrZnCd2 | PBE | relaxed

```
ZrZnCd2
1.0
3.011 0.000 0.000
0.000 4.459 0.000
-1.495 0.000 6.003
Zr Zn Cd
1 1 2
direct
0.000 0.000 0.000
0.402 0.500 0.802
0.263 0.000 0.528
0.643 0.500 0.287
```

Properties
Its total moment is 0.0 μB/cell. For the calculated formation energy, the calculation gives -0.096 eV per atom. Its density of states at the Fermi level is 0.43 states/eV/atom.